[1]
This record from Alexandria describes an optimized crystal structure of MoH3Os. The functional is PBE.

Output
crystal system	cubic
ΔE to the lowest computed polymorph	265	meV per atom
magnetic moment	1.34	μB per formula unit
D(E_F)	2.09	states/eV/cell

Cell lengths 3.449, 3.449, 3.449 Å; angles 90.00, 90.00, 90.00 degrees
Space group Pm-3m (No. 221)
One atom of each set of equivalent atoms:
Mo: 0.000 0.000 0.000 x1
H: 0.000 0.000 0.500 x3
Os: 0.500 0.500 0.500 x1


[2]
This record from Alexandria describes an optimized crystal structure of Mo2HOs. The functional is PBE.

Output
crystal system	trigonal
ΔE to the lowest computed polymorph	485	meV per atom
magnetic moment	0.00	μB per formula unit
D(E_F)	9.34	states/eV/cell

Cell lengths 2.7959, 2.7959, 22.3814 Å; angles 90.00, 90.00, 120.00 degrees
Space group R-3m (No. 166, hexagonal axes)
One atom of each set of equivalent atoms:
Mo: 0.0000 0.0000 0.1097 x6
H: 0.0000 0.0000 0.5000 x3
Os: 0.0000 0.0000 0.0000 x3


[3]
This record from Alexandria describes an optimized crystal structure of MoH2Os. The functional is PBE.

Output
crystal system	cubic
ΔE to the lowest computed polymorph	650	meV per atom
magnetic moment	0.00	μB per formula unit
D(E_F)	19.27	states/eV/cell

Cell lengths 5.309, 5.309, 5.309 Å; angles 90.00, 90.00, 90.00 degrees
Space group Fm-3m (No. 225)
One atom of each set of equivalent atoms:
Mo: 0.000 0.000 0.000 x4
H: 0.250 0.250 0.250 x8
Os: 0.000 0.000 0.500 x4


[4]
This record from Alexandria describes an optimized crystal structure of MoHOs3. The functional is PBE.

Output
crystal system	cubic
ΔE to the lowest computed polymorph	0	meV per atom
magnetic moment	0.00	μB per formula unit
D(E_F)	2.54	states/eV/cell

Cell lengths 3.932, 3.932, 3.932 Å; angles 90.00, 90.00, 90.00 degrees
Space group Pm-3m (No. 221)
One atom of each set of equivalent atoms:
Mo: 0.000 0.000 0.000 x1
H: 0.500 0.500 0.500 x1
Os: 0.000 0.500 0.500 x3


[5]
This record from Alexandria describes an optimized crystal structure of Mo2HOs. The functional is PBE.

Output
crystal system	tetragonal
ΔE to the lowest computed polymorph	277	meV per atom
magnetic moment	0.00	μB per formula unit
D(E_F)	1.52	states/eV/cell

Cell lengths 2.813, 2.813, 6.285 Å; angles 90.00, 90.00, 90.00 degrees
Space group P4/mmm (No. 123)
One atom of each set of equivalent atoms:
Mo: 0.000 0.000 0.203 x2
H: 0.500 0.500 0.000 x1
Os: 0.500 0.500 0.500 x1


[6]
This record from Alexandria describes an optimized crystal structure of MoHOs3. The functional is PBE.

Output
crystal system	cubic
ΔE to the lowest computed polymorph	2791	meV per atom
magnetic moment	3.82	μB per formula unit
D(E_F)	5.40	states/eV/cell

Cell lengths 4.729, 4.729, 4.729 Å; angles 90.00, 90.00, 90.00 degrees
Space group Pm-3m (No. 221)
One atom of each set of equivalent atoms:
Mo: 0.000 0.000 0.000 x1
H: 0.500 0.500 0.500 x1
Os: 0.000 0.000 0.500 x3


[7]
This record from Alexandria describes an optimized crystal structure of MoH3Os. The functional is PBE.

Output
crystal system	cubic
ΔE to the lowest computed polymorph	0	meV per atom
magnetic moment	0.00	μB per formula unit
D(E_F)	3.26	states/eV/cell

Cell lengths 3.440, 3.440, 3.440 Å; angles 90.00, 90.00, 90.00 degrees
Space group Pm-3m (No. 221)
One atom of each set of equivalent atoms:
Mo: 0.000 0.000 0.000 x1
H: 0.000 0.500 0.500 x3
Os: 0.500 0.500 0.500 x1


[8]
This record from Alexandria describes an optimized crystal structure of MoHOs2. The functional is PBE.

Output
crystal system	cubic
ΔE to the lowest computed polymorph	415	meV per atom
magnetic moment	0.00	μB per formula unit
D(E_F)	10.24	states/eV/cell

Cell lengths 5.952, 5.952, 5.952 Å; angles 90.00, 90.00, 90.00 degrees
Space group Fm-3m (No. 225)
One atom of each set of equivalent atoms:
Mo: 0.000 0.000 0.000 x4
H: 0.000 0.000 0.500 x4
Os: 0.250 0.250 0.250 x8


[9]
This record from Alexandria describes an optimized crystal structure of MoP2HOs. The functional is PBE.

Output
crystal system	tetragonal
magnetic moment	1.64	μB per formula unit
D(E_F)	3.89	states/eV/cell

Cell lengths 4.597, 4.597, 3.292 Å; angles 90.00, 90.00, 90.00 degrees
Space group P4/mmm (No. 123)
One atom of each set of equivalent atoms:
Mo: 0.000 0.000 0.000 x1
P: 0.000 0.500 0.500 x2
H: 0.500 0.500 0.000 x1
Os: 0.500 0.500 0.500 x1


[10]
This record from Alexandria describes an optimized crystal structure of MoHOs2Pd. The functional is PBE.

Output
crystal system	tetragonal
magnetic moment	0.00	μB per formula unit
D(E_F)	4.45	states/eV/cell

Cell lengths 3.977, 3.977, 3.885 Å; angles 90.00, 90.00, 90.00 degrees
Space group P4/mmm (No. 123)
One atom of each set of equivalent atoms:
Mo: 0.000 0.000 0.000 x1
H: 0.500 0.500 0.500 x1
Os: 0.000 0.500 0.500 x2
Pd: 0.500 0.500 0.000 x1


[11]
This record from Alexandria describes an optimized crystal structure of Mo2HOsPt. The functional is PBE.

Output
crystal system	tetragonal
ΔE to the lowest computed polymorph	44	meV per atom
magnetic moment	0.00	μB per formula unit
D(E_F)	2.90	states/eV/cell

Cell lengths 3.971, 3.971, 3.994 Å; angles 90.00, 90.00, 90.00 degrees
Space group P4/mmm (No. 123)
One atom of each set of equivalent atoms:
Mo: 0.000 0.500 0.000 x2
H: 0.000 0.000 0.000 x1
Os: 0.500 0.500 0.500 x1
Pt: 0.000 0.000 0.500 x1


[12]
This record from Alexandria describes an optimized crystal structure of MoHOs2Pt. The functional is PBE.

Output
crystal system	tetragonal
magnetic moment	0.00	μB per formula unit
D(E_F)	1.94	states/eV/cell

Cell lengths 3.946, 3.946, 3.951 Å; angles 90.00, 90.00, 90.00 degrees
Space group P4/mmm (No. 123)
One atom of each set of equivalent atoms:
Mo: 0.000 0.000 0.000 x1
H: 0.000 0.000 0.500 x1
Os: 0.000 0.500 0.500 x2
Pt: 0.500 0.500 0.000 x1


Per-record E_tot, Ha/atom: -0.207 -0.314 -0.231 -0.347 -0.321 -0.245 -0.216 -0.307 -0.245 -0.299 -0.312 -0.311